(1)
DFT (GGA-PBEsol) results for crystalline K2CeCu2S4 at its relaxed geometry.

Properties
**Formation energy without anion corrections**: -1.205 eV/atom
**E**: -91.8 eV/cell

a b c (Å): 14.2194 3.9155 7.4481
angles (deg): 90.00 109.80 90.00
Space group C2/m (No. 12)
One atom of each set of equivalent atoms:
1 K 0.1364 0.0000 0.0630 [4 per cell]
2 Ce 0.0000 0.0000 0.5000 [2 per cell]
3 Cu 0.1791 0.5000 0.4851 [4 per cell]
4 S 0.0219 0.5000 0.2624 [4 per cell]
5 S 0.2014 0.0000 0.6711 [4 per cell]

---

(2)
DFT (GGA-PBEsol) results for crystalline LaCeCu4Si4 at its relaxed geometry.

Properties
**Formation energy without anion corrections**: -0.620 eV/atom
**E**: -58.5 eV/cell

a b c (Å): 4.0636 4.0636 9.7648
angles (deg): 90.00 90.00 90.00
Space group P4/mmm (No. 123)
One atom of each set of equivalent atoms:
1 La 0.0000 0.0000 0.0000 [1 per cell]
2 Ce 0.5000 0.5000 0.5000 [1 per cell]
3 Cu 0.0000 0.5000 0.2526 [4 per cell]
4 Si 0.0000 0.0000 0.3799 [2 per cell]
5 Si 0.5000 0.5000 0.1247 [2 per cell]

---

(3)
DFT (GGA-PBEsol) results for crystalline LiCeCu2P2 at its relaxed geometry.

Properties
**E**: -33.6 eV/cell
**Energy relative to the elements**: -4.740 eV/f.u.

a b c (Å): 3.9509 3.9509 6.6295
angles (deg): 90.00 90.00 120.00
Space group P-3m1 (No. 164)
One atom of each set of equivalent atoms:
1 Li 0.0000 0.0000 0.0000 [1 per cell]
2 Ce 0.0000 0.0000 0.5000 [1 per cell]
3 Cu 0.3333 0.6667 0.1622 [2 per cell]
4 P 0.3333 0.6667 0.7701 [2 per cell]